Entry 1:
# BePt3Se

BePt3Se after structural relaxation (PBE-GGA, Alexandria via LeMat-Bulk).

Mass density (g/cm³): 10.97
Offset from the most stable computed form (eV/atom): 0.686
DOS at the Fermi energy (states/eV/f.u.): 2.18
Spin magnetization (μB per atom): 0.000
Electronic total energy (eV/atom): -4.142

a b c (Å): 4.671 4.671 4.671
angles (deg): 90.00 90.00 90.00
Atoms (fractional coordinates):
Be1 0.000 0.000 0.000
Pt1 0.000 0.500 0.500
Pt2 0.500 0.000 0.500
Pt3 0.500 0.500 0.000
Se1 0.500 0.500 0.500


Entry 2:
# Mg2Rh3O8

Mg2Rh3O8 after structural relaxation (PBE-GGA, Alexandria via LeMat-Bulk).

Mass density (g/cm³): 5.28
DOS at the Fermi energy (states/eV/f.u.): 8.85
Spin magnetization (μB per atom): 0.151
Electronic total energy (eV/atom): -6.266

a b c (Å): 5.757 5.757 5.280
angles (deg): 99.98 99.98 62.92
Atoms (fractional coordinates):
Mg1 0.209 0.209 0.084
Mg2 0.791 0.791 0.916
Rh1 0.242 0.758 0.500
Rh2 0.500 0.500 0.000
Rh3 0.758 0.242 0.500
O1 0.109 0.109 0.383
O2 0.149 0.609 0.137
O3 0.391 0.851 0.863
O4 0.402 0.402 0.627
O5 0.598 0.598 0.373
O6 0.609 0.149 0.137
O7 0.851 0.391 0.863
O8 0.891 0.891 0.617


Entry 3:
# NaIBrO2

NaIBrO2 after structural relaxation (PBE-GGA, Alexandria via LeMat-Bulk).

Mass density (g/cm³): 3.11
Offset from the most stable computed form (eV/atom): 0.338
DOS at the Fermi energy (states/eV/f.u.): 2.59
Spin magnetization (μB per atom): 0.623
Electronic total energy (eV/atom): -2.481

a b c (Å): 4.473 4.473 6.996
angles (deg): 90.00 90.00 90.00
Atoms (fractional coordinates):
Na1 0.000 0.000 0.000
I1 0.000 0.000 0.500
Br1 0.500 0.500 0.500
O1 0.000 0.500 0.000
O2 0.500 0.000 0.000


Entry 4:
# MnAl6Os

MnAl6Os after structural relaxation (PBE-GGA, Alexandria via LeMat-Bulk).

Mass density (g/cm³): 5.24
DOS at the Fermi energy (states/eV/f.u.): 2.92
Energy of formation (meV per atom): 103
Spin magnetization (μB per atom): 0.060
Electronic total energy (eV/atom): -5.254

a b c (Å): 4.916 4.916 6.542
angles (deg): 101.09 101.09 118.24
Atoms (fractional coordinates):
Mn1 0.000 0.000 0.000
Al1 0.030 0.414 0.809
Al2 0.414 0.030 0.809
Al3 0.433 0.433 0.300
Al4 0.567 0.567 0.700
Al5 0.586 0.970 0.191
Al6 0.970 0.586 0.191
Os1 0.000 0.000 0.500


Entry 5:
# Ba2CaNdTe4

Ba2CaNdTe4 after structural relaxation (PBE-GGA, Alexandria via LeMat-Bulk).

Mass density (g/cm³): 5.34
DOS at the Fermi energy (states/eV/f.u.): 2.67
Spin magnetization (μB per atom): 0.000
Electronic total energy (eV/atom): -4.534

a b c (Å): 8.169 4.704 8.296
angles (deg): 90.00 109.14 90.00
Atoms (fractional coordinates):
Ba1 0.000 0.000 0.000
Ba2 0.500 0.500 0.000
Ca1 0.000 0.500 0.500
Nd1 0.500 0.000 0.500
Te1 0.241 0.000 0.722
Te2 0.259 0.500 0.277
Te3 0.741 0.500 0.723
Te4 0.759 0.000 0.278


Entry 6:
# Na3WI

Na3WI after structural relaxation (PBE-GGA, Alexandria via LeMat-Bulk).

Mass density (g/cm³): 3.12
Offset from the most stable computed form (eV/atom): 0.000
DOS at the Fermi energy (states/eV/f.u.): 1.95
Spin magnetization (μB per atom): 1.159
Electronic total energy (eV/atom): -2.705

a b c (Å): 5.869 5.869 5.869
angles (deg): 90.00 90.00 90.00
Atoms (fractional coordinates):
Na1 0.000 0.000 0.500
Na2 0.000 0.500 0.000
Na3 0.500 0.000 0.000
W1 0.500 0.500 0.500
I1 0.000 0.000 0.000